# 1
Material: Al2CuMo
Method: DFT, PBE-GGA
State: optimized geometry

Properties
- offset from the most stable computed form (kJ/mol of atoms) = 16.0
- spin magnetization (μB/atom) = 0.000
- VASP energy (eV per cell) = -22.68
- space group = R-3m
- DFT formation energy (eV per atom) = -0.068

abc: 8.8021 8.8021 8.8021
angles: 18.39 18.39 18.39
Fractional coordinates of all 4 atoms:
Al  0.2464  0.2464  0.2464
Al  0.7536  0.7536  0.7536
Cu  0.5000  0.5000  0.5000
Mo  0.0000  0.0000  0.0000



# 2
Material: AlCuMo2
Method: DFT, PBE-GGA
State: optimized geometry

Properties
- spin magnetization (μB/atom) = 0.000
- VASP energy (eV per cell) = -29.45
- space group = Pmmm
- DFT formation energy (eV per atom) = 0.014

abc: 2.6717 4.2049 5.2421
angles: 90.00 90.00 90.00
Fractional coordinates of all 4 atoms:
Al  0.0000  0.0000  0.0000
Cu  0.0000  0.0000  0.5000
Mo  0.5000  0.5000  0.2480
Mo  0.5000  0.5000  0.7520



# 3
Material: AlCuReMo
Method: DFT, PBE-GGA
State: optimized geometry

Properties
- spin magnetization (μB/atom) = 0.000
- VASP energy (eV per cell) = -31.21
- space group = F-43m
- DFT formation energy (eV per atom) = -0.023

abc: 4.3384 4.3384 4.3384
angles: 60.00 60.00 60.00
Fractional coordinates of all 4 atoms:
Al  0.0000  0.0000  0.0000
Cu  0.2500  0.2500  0.2500
Re  0.7500  0.7500  0.7500
Mo  0.5000  0.5000  0.5000